A geometry-optimized CrCoAg2 structure. Source: the Alexandria database, functional PBE.

Output
Total magnetization: 5.73 μB per cell
Formation energy from the elements: 0.566 eV per atom
Space group: P4/mmm, No. 123
Energy relative to the lowest polymorph listed for this composition: 0.245 eV per atom

Structure (POSCAR):
```
CrCoAg2
1.0
4.496 0.000 0.000
0.000 4.496 0.000
0.000 0.000 3.125
Cr Co Ag
1 1 2
Direct
0.000 0.000 0.000 Cr
0.500 0.500 0.000 Co
0.000 0.500 0.500 Ag
0.500 0.000 0.500 Ag
```